The following is a SCAN calculation of a crystal of GaTeOsBr2 relaxed with PBEsol, from Alexandria.

Computed properties:
Its size of the total moment is 0.002 μB/cell. The density of states at the Fermi level comes out at 5.7 states/eV/f.u. The value obtained for the calculated total energy is -32.213 eV/atom.

CIF file:
```
data_GaTeOsBr2
_chemical_formula_sum 'Ga1 Te1 Os1 Br2'
_cell_length_a 4.854
_cell_length_b 4.854
_cell_length_c 5.084
_cell_angle_alpha 90.00
_cell_angle_beta 90.00
_cell_angle_gamma 90.00
_space_group_name_H-M_alt 'P 4/m m m'
_space_group_IT_number 123
_space_group_name_Hall '-P 4 2'
loop_
_atom_site_label
_atom_site_type_symbol
_atom_site_fract_x
_atom_site_fract_y
_atom_site_fract_z
_atom_site_occupancy
Ga1 Ga 0.000 0.000 0.000 1
Te1 Te 0.500 0.500 0.000 1
Os1 Os 0.000 0.000 0.500 1
Br1 Br 0.000 0.500 0.500 1
```